(1)
{"formula": "Li2AcLaSn2", "functional": "PBE", "state": "relaxed", "lattice_angstrom": [[4.883, 0.000, 0.000], [-2.442, 4.229, 0.000], [0.000, 0.000, 8.184]], "species": ["Li", "Li", "Ac", "La", "Sn", "Sn"], "frac_coords": [[0.333, 0.667, 0.717], [0.667, 0.333, 0.283], [0.000, 0.000, 0.000], [0.000, 0.000, 0.500], [0.333, 0.667, 0.265], [0.667, 0.333, 0.735]], "sg": "P-3m1, No. 164", "delta_e_f_ev_per_atom": -0.6592}

(2)
{"formula": "SrLiAcLa", "functional": "PBE", "state": "relaxed", "lattice_angstrom": [[6.093, 0.000, 0.000], [3.046, 5.277, 0.000], [3.046, 1.759, 4.975]], "species": ["Sr", "Ac", "Li", "La"], "frac_coords": [[0.750, 0.750, 0.750], [0.000, 0.000, 0.000], [0.500, 0.500, 0.500], [0.250, 0.250, 0.250]], "sg": "F-43m, No. 216", "delta_e_f_ev_per_atom": 0.2435}

(3)
{"formula": "LiAcLaTb", "functional": "PBE", "state": "relaxed", "lattice_angstrom": [[5.811, 0.000, 0.000], [2.905, 5.032, 0.000], [2.905, 1.677, 4.744]], "species": ["Ac", "Li", "Tb", "La"], "frac_coords": [[0.500, 0.500, 0.500], [0.000, 0.000, 0.000], [0.750, 0.750, 0.750], [0.250, 0.250, 0.250]], "sg": "F-43m, No. 216", "delta_e_f_ev_per_atom": 0.2304, "e_above_lowest_polymorph_ev_per_fu": 0.35}

(4)
{"formula": "LiAcLaTb", "functional": "PBE", "state": "relaxed", "lattice_angstrom": [[-0.623, -5.089, 2.692], [2.042, -0.702, 5.373], [-3.671, -0.491, 4.452]], "species": ["Ac", "Li", "Tb", "La"], "frac_coords": [[0.250, 0.250, 0.250], [0.500, 0.500, 0.500], [0.000, 0.000, 0.000], [0.750, 0.750, 0.750]], "sg": "F-43m, No. 216", "delta_e_f_ev_per_atom": 0.1421, "e_above_lowest_polymorph_ev_per_fu": 0.00}

(5)
{"formula": "Li2AcLaTe4", "functional": "PBE", "state": "relaxed", "lattice_angstrom": [[-6.627, 4.118, -0.382], [-6.303, -2.834, -1.081], [-4.300, 0.993, 5.427]], "species": ["Li", "Li", "Ac", "La", "Te", "Te", "Te", "Te"], "frac_coords": [[0.250, 0.250, 0.250], [0.750, 0.750, 0.750], [0.000, 0.000, 0.000], [0.500, 0.500, 0.500], [0.459, 0.059, 0.541], [0.059, 0.941, 0.459], [0.941, 0.541, 0.059], [0.541, 0.459, 0.941]], "sg": "I-42m, No. 121", "raw_formation_energy_ev_per_fu": -9.976}

(6)
{"formula": "LiAc3La3Te8", "functional": "PBE", "state": "relaxed", "lattice_angstrom": [[-3.054, 0.754, -8.686], [1.914, -8.325, 3.517], [-7.427, 4.693, 3.019]], "species": ["Li", "Ac", "Ac", "Ac", "La", "La", "La", "Te", "Te", "Te", "Te", "Te", "Te", "Te", "Te"], "frac_coords": [[0.000, 0.000, 0.500], [0.000, 0.000, 0.000], [0.000, 0.500, 0.000], [0.500, 0.500, 0.000], [0.500, 0.000, 0.500], [0.500, 0.500, 0.500], [0.000, 0.500, 0.500], [0.253, 0.507, 0.260], [0.747, 0.493, 0.740], [0.757, 0.513, 0.263], [0.243, 0.487, 0.737], [0.757, 0.006, 0.263], [0.243, 0.994, 0.737], [0.250, 0.006, 0.263], [0.750, 0.994, 0.737]], "sg": "R-3m, No. 166", "raw_formation_energy_ev_per_fu": -22.432}

(7)
{"formula": "LiAcLa2Te4", "functional": "PBE", "state": "relaxed", "lattice_angstrom": [[4.587, 0.000, 0.000], [0.000, 8.009, -0.186], [0.000, 2.793, 7.400]], "species": ["Li", "Ac", "La", "La", "Te", "Te", "Te", "Te"], "frac_coords": [[0.500, 0.500, 0.000], [0.000, 0.500, 0.500], [0.000, 0.000, 0.000], [0.500, 0.000, 0.500], [0.000, 0.745, 0.762], [0.000, 0.255, 0.238], [0.500, 0.750, 0.238], [0.500, 0.250, 0.762]], "sg": "P2/m, No. 10", "raw_formation_energy_ev_per_fu": -11.645}

(8)
{"formula": "LiAc3La2Te6", "functional": "PBE", "state": "relaxed", "lattice_angstrom": [[4.647, 0.000, 0.000], [0.000, 9.230, 0.362], [-2.323, -2.624, 9.738]], "species": ["Li", "Ac", "Ac", "Ac", "La", "La", "Te", "Te", "Te", "Te", "Te", "Te"], "frac_coords": [[0.500, 0.000, 0.000], [0.500, 0.500, 0.000], [0.832, 0.166, 0.664], [0.168, 0.834, 0.336], [0.832, 0.663, 0.665], [0.168, 0.337, 0.335], [0.341, 0.913, 0.683], [0.668, 0.580, 0.335], [0.659, 0.087, 0.317], [0.002, 0.234, 0.003], [0.998, 0.766, 0.997], [0.332, 0.420, 0.665]], "sg": "C2/m, No. 12", "raw_formation_energy_ev_per_fu": -17.769}

(9)
{"formula": "LiAc2La3Te6", "functional": "PBE", "state": "relaxed", "lattice_angstrom": [[7.975, -0.010, -0.010], [-3.995, 6.902, -0.010], [-1.337, -2.314, 7.560]], "species": ["Li", "Ac", "Ac", "La", "La", "La", "Te", "Te", "Te", "Te", "Te", "Te"], "frac_coords": [[0.000, 0.000, 0.000], [0.335, 0.665, 0.000], [0.665, 0.335, 0.000], [0.171, 0.829, 0.500], [0.829, 0.171, 0.500], [0.500, 0.500, 0.500], [0.919, 0.602, 0.753], [0.768, 0.768, 0.253], [0.081, 0.398, 0.247], [0.602, 0.919, 0.753], [0.232, 0.232, 0.747], [0.398, 0.081, 0.247]], "sg": "C2/m, No. 12", "raw_formation_energy_ev_per_fu": -17.862}

(10)
{"formula": "LiAc2LaTe5", "functional": "PBE", "state": "relaxed", "lattice_angstrom": [[-3.557, 1.890, -2.327], [6.645, -2.066, -7.184], [-5.553, -12.390, -1.573]], "species": ["Li", "Li", "Ac", "Ac", "Ac", "Ac", "La", "La", "Te", "Te", "Te", "Te", "Te", "Te", "Te", "Te", "Te", "Te"], "frac_coords": [[0.551, 0.103, 0.965], [0.449, 0.897, 0.465], [0.876, 0.753, 0.804], [0.107, 0.214, 0.684], [0.124, 0.247, 0.304], [0.893, 0.786, 0.184], [0.800, 0.601, 0.507], [0.200, 0.399, 0.007], [0.365, 0.730, 0.999], [0.687, 0.374, 0.845], [0.499, 0.999, 0.781], [0.287, 0.574, 0.669], [0.953, 0.906, 0.567], [0.635, 0.270, 0.499], [0.313, 0.626, 0.345], [0.501, 0.001, 0.281], [0.713, 0.426, 0.169], [0.047, 0.094, 0.067]], "sg": "Cmc2_1, No. 36", "raw_formation_energy_ev_per_fu": -13.323}

(11)
{"formula": "LiAcLa2Tl4", "functional": "PBE", "state": "relaxed", "lattice_angstrom": [[-2.286, 3.931, 3.074], [-5.464, 0.360, 0.377], [-2.446, -4.381, 8.686]], "species": ["Li", "Ac", "La", "La", "Tl", "Tl", "Tl", "Tl"], "frac_coords": [[0.500, 0.500, 0.500], [0.000, 0.000, 0.000], [0.759, 0.759, 0.724], [0.241, 0.241, 0.276], [0.381, 0.381, 0.856], [0.872, 0.872, 0.383], [0.128, 0.128, 0.617], [0.619, 0.619, 0.144]], "sg": "R-3m, No. 166", "delta_e_f_ev_per_atom": -0.3525}

(12)
{"formula": "LiAcLaTl", "functional": "PBE", "state": "relaxed", "lattice_angstrom": [[5.673, 0.000, 0.000], [2.836, 4.913, 0.000], [2.836, 1.638, 4.632]], "species": ["Ac", "Li", "Tl", "La"], "frac_coords": [[0.750, 0.750, 0.750], [0.000, 0.000, 0.000], [0.500, 0.500, 0.500], [0.250, 0.250, 0.250]], "sg": "F-43m, No. 216", "delta_e_f_ev_per_atom": -0.1928}

(13)
{"formula": "LiAcLaY", "functional": "PBE", "state": "relaxed", "lattice_angstrom": [[-4.851, 2.896, 1.378], [-4.640, -2.882, 1.996], [-1.583, 0.538, 5.570]], "species": ["Y", "Ac", "Li", "La"], "frac_coords": [[0.500, 0.500, 0.500], [0.250, 0.250, 0.250], [0.750, 0.750, 0.750], [0.000, 0.000, 0.000]], "sg": "F-43m, No. 216", "delta_e_f_ev_per_atom": 0.2282}

(14)
{"formula": "Ac2LaLu", "functional": "PBE", "state": "relaxed", "lattice_angstrom": [[5.290, 0.000, 0.000], [0.000, 5.397, 0.000], [0.000, 0.000, 5.397]], "species": ["Ac", "Ac", "Lu", "La"], "frac_coords": [[0.000, 0.000, 0.500], [0.000, 0.500, 0.000], [0.500, 0.500, 0.500], [0.500, 0.000, 0.000]], "sg": "P4/mmm, No. 123", "delta_e_f_ev_per_atom": 0.0381, "e_above_lowest_polymorph_ev_per_fu": 0.00}

(15)
{"formula": "AcLa2Lu", "functional": "PBE", "state": "relaxed", "lattice_angstrom": [[5.294, 0.000, 0.000], [0.000, 5.251, 0.000], [0.000, 0.000, 5.251]], "species": ["Ac", "Lu", "La", "La"], "frac_coords": [[0.500, 0.000, 0.000], [0.500, 0.500, 0.500], [0.000, 0.000, 0.500], [0.000, 0.500, 0.000]], "sg": "P4/mmm, No. 123", "delta_e_f_ev_per_atom": 0.0239, "e_above_lowest_polymorph_ev_per_fu": 0.00}

(16)
{"formula": "AcLa2Lu", "functional": "PBE", "state": "relaxed", "lattice_angstrom": [[-2.188, 2.837, -1.257], [-2.994, -2.335, -0.060], [-2.212, 2.587, 9.688]], "species": ["Ac", "Lu", "La", "La"], "frac_coords": [[0.500, 0.500, 0.500], [0.500, 0.500, 0.000], [0.000, 0.000, 0.768], [0.000, 0.000, 0.232]], "sg": "P4/mmm, No. 123", "delta_e_f_ev_per_atom": 0.0415, "e_above_lowest_polymorph_ev_per_fu": 0.07}

(17)
{"formula": "Ac2LaLu", "functional": "PBE", "state": "relaxed", "lattice_angstrom": [[3.723, 0.000, 0.000], [1.862, 3.224, 0.000], [1.862, 1.075, 13.227]], "species": ["Ac", "Ac", "Lu", "La"], "frac_coords": [[0.087, 0.087, 0.739], [0.913, 0.913, 0.261], [0.000, 0.000, 0.000], [0.500, 0.500, 0.500]], "sg": "R-3m, No. 166", "delta_e_f_ev_per_atom": 0.2571, "e_above_lowest_polymorph_ev_per_fu": 0.88}

(18)
{"formula": "Ac2LaLu", "functional": "PBE", "state": "relaxed", "lattice_angstrom": [[6.056, 0.000, 0.000], [3.028, 5.244, 0.000], [3.028, 1.748, 4.945]], "species": ["Ac", "Ac", "Lu", "La"], "frac_coords": [[0.250, 0.250, 0.250], [0.750, 0.750, 0.750], [0.000, 0.000, 0.000], [0.500, 0.500, 0.500]], "sg": "Fm-3m, No. 225", "delta_e_f_ev_per_atom": 0.1355, "e_above_lowest_polymorph_ev_per_fu": 0.39}

(19)
{"formula": "Ac2LaLu", "functional": "PBE", "state": "relaxed", "lattice_angstrom": [[3.879, 0.000, 0.000], [0.000, 3.879, 0.000], [0.000, 0.000, 10.293]], "species": ["Ac", "Ac", "Lu", "La"], "frac_coords": [[0.000, 0.000, 0.762], [0.000, 0.000, 0.238], [0.500, 0.500, 0.000], [0.500, 0.500, 0.500]], "sg": "P4/mmm, No. 123", "delta_e_f_ev_per_atom": 0.0510, "e_above_lowest_polymorph_ev_per_fu": 0.05}

(20)
{"formula": "AcLa2Lu", "functional": "PBE", "state": "relaxed", "lattice_angstrom": [[5.971, 0.000, 0.000], [2.986, 5.171, 0.000], [2.986, 1.724, 4.875]], "species": ["Ac", "Lu", "La", "La"], "frac_coords": [[0.500, 0.500, 0.500], [0.000, 0.000, 0.000], [0.250, 0.250, 0.250], [0.750, 0.750, 0.750]], "sg": "Fm-3m, No. 225", "delta_e_f_ev_per_atom": 0.1546, "e_above_lowest_polymorph_ev_per_fu": 0.52}

(21)
{"formula": "NaAcLaLu", "functional": "PBE", "state": "relaxed", "lattice_angstrom": [[-5.432, 0.692, -2.191], [-3.066, -4.698, -1.820], [-4.680, -1.842, 3.082]], "species": ["Na", "Ac", "Lu", "La"], "frac_coords": [[0.750, 0.750, 0.750], [0.500, 0.500, 0.500], [0.250, 0.250, 0.250], [0.000, 0.000, 0.000]], "sg": "F-43m, No. 216", "delta_e_f_ev_per_atom": 0.2162}

(22)
{"formula": "AcLaNdLu", "functional": "PBE", "state": "relaxed", "lattice_angstrom": [[5.938, 0.000, 0.000], [2.969, 5.143, 0.000], [2.969, 1.714, 4.848]], "species": ["Ac", "Lu", "Nd", "La"], "frac_coords": [[0.500, 0.500, 0.500], [0.000, 0.000, 0.000], [0.750, 0.750, 0.750], [0.250, 0.250, 0.250]], "sg": "F-43m, No. 216", "delta_e_f_ev_per_atom": 0.1659}

(23)
{"formula": "AcLaLuPb", "functional": "PBE", "state": "relaxed", "lattice_angstrom": [[-2.746, 4.065, 2.904], [-0.526, -0.403, 5.663], [2.910, 3.540, 3.393]], "species": ["Pb", "Ac", "Lu", "La"], "frac_coords": [[0.250, 0.250, 0.250], [0.750, 0.750, 0.750], [0.500, 0.500, 0.500], [0.000, 0.000, 0.000]], "sg": "F-43m, No. 216", "delta_e_f_ev_per_atom": -0.0662}

(24)
{"formula": "AcLaSmLu", "functional": "PBE", "state": "relaxed", "lattice_angstrom": [[-1.438, -2.151, 5.325], [-4.854, -3.328, 0.636], [0.507, -5.797, 1.086]], "species": ["Ac", "Lu", "Sm", "La"], "frac_coords": [[0.500, 0.500, 0.500], [0.000, 0.000, 0.000], [0.250, 0.250, 0.250], [0.750, 0.750, 0.750]], "sg": "F-43m, No. 216", "delta_e_f_ev_per_atom": 0.1737}

(25)
{"formula": "AcLaLuSn", "functional": "PBE", "state": "relaxed", "lattice_angstrom": [[5.636, 0.000, 0.000], [2.818, 4.881, 0.000], [2.818, 1.627, 4.602]], "species": ["Ac", "Lu", "Sn", "La"], "frac_coords": [[0.750, 0.750, 0.750], [0.000, 0.000, 0.000], [0.250, 0.250, 0.250], [0.500, 0.500, 0.500]], "sg": "F-43m, No. 216", "delta_e_f_ev_per_atom": -0.1617}

(26)
{"formula": "SrAcLaLu", "functional": "PBE", "state": "relaxed", "lattice_angstrom": [[-1.345, 1.742, 5.682], [-0.207, -4.123, 4.482], [4.315, -0.043, 4.302]], "species": ["Sr", "Ac", "Lu", "La"], "frac_coords": [[0.250, 0.250, 0.250], [0.000, 0.000, 0.000], [0.750, 0.750, 0.750], [0.500, 0.500, 0.500]], "sg": "F-43m, No. 216", "delta_e_f_ev_per_atom": 0.1705}

(27)
{"formula": "AcLaTbLu", "functional": "PBE", "state": "relaxed", "lattice_angstrom": [[-2.169, 5.453, 0.251], [-4.474, 1.544, -3.479], [-5.322, 0.941, 2.303]], "species": ["Ac", "Lu", "Tb", "La"], "frac_coords": [[0.750, 0.750, 0.750], [0.000, 0.000, 0.000], [0.500, 0.500, 0.500], [0.250, 0.250, 0.250]], "sg": "F-43m, No. 216", "delta_e_f_ev_per_atom": 0.0897}

| no. | V (Å³/atom) | magnetization (μB/f.u.) |
| --- | --- | --- |
| 1 | 28.17 | 0.00 |
| 2 | 39.98 | 0.00 |
| 3 | 34.68 | 0.00 |
| 4 | 34.32 | 0.00 |
| 5 | 32.74 | 0.00 |
| 6 | 37.48 | 0.00 |
| 7 | 34.28 | 0.00 |
| 8 | 35.17 | 0.00 |
| 9 | 34.62 | 0.00 |
| 10 | 34.36 | 0.00 |
| 11 | 31.04 | 0.00 |
| 12 | 32.27 | 0.00 |
| 13 | 34.77 | 0.00 |
| 14 | 38.52 | 0.00 |
| 15 | 36.49 | 0.00 |
| 16 | 37.01 | 0.00 |
| 17 | 39.70 | 0.00 |
| 18 | 39.26 | 0.00 |
| 19 | 38.72 | 0.00 |
| 20 | 37.64 | 0.04 |
| 21 | 36.27 | 0.00 |
| 22 | 37.02 | 0.25 |
| 23 | 32.76 | 0.00 |
| 24 | 36.67 | 0.92 |
| 25 | 31.64 | 0.00 |
| 26 | 40.00 | 0.00 |
| 27 | 35.83 | 0.00 |